a:
Below is Rb2ZrCr after structural relaxation, with properties calculated at the PBE level.

Lattice parameters (Å, degrees): 6.2842 6.2842 6.2842 60.00 60.00 60.00
Last column: nearest neighbours and their distance in Å.
Fractional coordinates of all 4 atoms:
Rb  0.2500  0.2500  0.2500  4 Cr 3.85, 4 Zr 3.85
Rb  0.7500  0.7500  0.7500  4 Zr 3.85, 4 Cr 3.85
Zr  0.0000  0.0000  0.0000  8 Rb 3.85
Cr  0.5000  0.5000  0.5000  8 Rb 3.85

b:
Below is Rb2ZrCr after structural relaxation, with properties calculated at the PBE level.

Lattice parameters (Å, degrees): 9.8554 9.8554 9.8554 93.42 93.42 151.72
Last column: nearest neighbours and their distance in Å.
Fractional coordinates of all 8 atoms:
Rb  0.3750  0.2178  0.3428  2 Cr 3.65, 2 Zr 4.03
Rb  0.7822  0.1250  0.1572  2 Cr 3.65, 2 Zr 4.03
Rb  0.8750  0.0322  0.6572  2 Cr 3.65, 2 Zr 4.03
Rb  0.9678  0.6250  0.8428  2 Cr 3.65, 2 Zr 4.03
Zr  0.2500  0.7500  0.5000  2 Cr 2.41
Zr  0.5000  0.5000  0.0000  2 Cr 2.41
Cr  0.0000  0.0000  0.0000  2 Zr 2.41
Cr  0.7500  0.2500  0.5000  2 Zr 2.41

Most stable: b (next structure +361 meV/atom)

a:
Below is Cr3Re5 after structural relaxation, with properties calculated at the PBE level.

Lattice parameters (Å, degrees): 7.2369 7.2369 4.7842 109.29 109.29 83.76
Last column: nearest neighbours and their distance in Å.
Fractional coordinates of all 16 atoms:
Cr  0.0005  0.9995  0.7500  2 Cr 2.39, 8 Re 2.58-2.59
Cr  0.1397  0.4998  0.8196  6 Re 2.47-2.74
Cr  0.4998  0.1397  0.3196  6 Re 2.47-2.74
Cr  0.5002  0.8603  0.6804  6 Re 2.47-2.74
Cr  0.8603  0.5002  0.1804  6 Re 2.47-2.74
Cr  0.9995  0.0005  0.2500  2 Cr 2.39, 8 Re 2.58-2.59
Re  0.1579  0.2951  0.2265  4 Cr 2.47-2.58, 2 Re 2.73
Re  0.1582  0.7047  0.4313  4 Cr 2.47-2.59, 2 Re 2.73-2.74
Re  0.2951  0.1579  0.7265  4 Cr 2.47-2.58, 2 Re 2.73
Re  0.2953  0.8418  0.0687  4 Cr 2.47-2.59, 2 Re 2.73-2.74
Re  0.5002  0.4998  0.2500  2 Re 2.39
Re  0.4998  0.5002  0.7500  2 Re 2.39
Re  0.7047  0.1582  0.9313  4 Cr 2.47-2.59, 2 Re 2.73-2.74
Re  0.7049  0.8421  0.2735  4 Cr 2.47-2.58, 2 Re 2.73
Re  0.8418  0.2953  0.5687  4 Cr 2.47-2.59, 2 Re 2.73-2.74
Re  0.8421  0.7049  0.7735  4 Cr 2.47-2.58, 2 Re 2.73

b:
Below is Cr3Re5 after structural relaxation, with properties calculated at the PBE level.

Lattice parameters (Å, degrees): 7.2137 7.2137 4.9865 90.00 90.00 120.00
Last column: nearest neighbours and their distance in Å.
Fractional coordinates of all 16 atoms:
Cr  0.0000  0.4141  0.2500  7 Re 2.50-2.59, 2 Cr 2.78
Cr  0.0000  0.5859  0.7500  7 Re 2.50-2.59, 2 Cr 2.78
Cr  0.4141  0.0000  0.2500  7 Re 2.50-2.59, 2 Cr 2.78
Cr  0.4141  0.4141  0.7500  7 Re 2.50-2.59, 2 Cr 2.78
Cr  0.5859  0.0000  0.7500  7 Re 2.50-2.59, 2 Cr 2.78
Cr  0.5859  0.5859  0.2500  7 Re 2.50-2.59, 2 Cr 2.78
Re  0.0000  0.2327  0.7500  5 Cr 2.55-2.82
Re  0.0000  0.7673  0.2500  5 Cr 2.55-2.82
Re  0.2327  0.0000  0.7500  5 Cr 2.55-2.82
Re  0.2327  0.2327  0.2500  5 Cr 2.55-2.82
Re  0.3333  0.6667  0.0000  2 Re 2.49, 6 Cr 2.50
Re  0.3333  0.6667  0.5000  2 Re 2.49, 6 Cr 2.50
Re  0.6667  0.3333  0.0000  2 Re 2.49, 6 Cr 2.50
Re  0.6667  0.3333  0.5000  2 Re 2.49, 6 Cr 2.50
Re  0.7673  0.0000  0.2500  5 Cr 2.55-2.82
Re  0.7673  0.7673  0.7500  5 Cr 2.55-2.82

Most stable: a (next structure +63 meV/atom)

a:
Below is CrRe5 after structural relaxation, with properties calculated at the PBE level.

Lattice parameters (Å, degrees): 5.0762 5.0762 4.5505 90.00 90.00 120.00
Last column: nearest neighbours and their distance in Å.
Fractional coordinates of all 6 atoms:
Cr  0.0000  0.0000  0.0000  6 Re 2.93
Re  0.0000  0.5000  0.5000  8 Re 2.54-2.71
Re  0.3333  0.6667  0.0000  9 Re 2.71-2.93, 3 Cr 2.93
Re  0.5000  0.0000  0.5000  8 Re 2.54-2.71
Re  0.5000  0.5000  0.5000  8 Re 2.54-2.71
Re  0.6667  0.3333  0.0000  9 Re 2.71-2.93, 3 Cr 2.93

b:
Below is CrRe5 after structural relaxation, with properties calculated at the PBE level.

Lattice parameters (Å, degrees): 5.2480 5.2480 6.4826 104.76 104.76 30.54
Last column: nearest neighbours and their distance in Å.
Fractional coordinates of all 6 atoms:
Cr  0.0000  0.0000  0.0000  10 Re 2.68-2.78, 2 Cr 2.76
Re  0.0535  0.0535  0.6096  11 Re 2.71-2.78, 1 Cr 2.72
Re  0.3360  0.3360  0.6689  10 Re 2.71-2.80, 2 Cr 2.72
Re  0.3898  0.3898  0.2671  2 Cr 2.68, 10 Re 2.69-2.80
Re  0.6633  0.6633  0.3268  10 Re 2.69-2.80, 2 Cr 2.70
Re  0.7177  0.7177  0.9411  9 Re 2.70-2.76, 3 Cr 2.71-2.78

Most stable: b (next structure +533 meV/atom)

a:
Below is CrRe5 after structural relaxation, with properties calculated at the PBE level.

Lattice parameters (Å, degrees): 7.0640 7.0640 2.9646 90.00 90.00 143.80
Last column: nearest neighbours and their distance in Å.
Fractional coordinates of all 6 atoms:
Cr  0.0000  0.0000  0.0000  8 Re 2.48-2.65
Re  0.1480  0.8520  0.5000  2 Cr 2.48, 6 Re 2.68-2.75
Re  0.3206  0.6794  0.0000  12 Re 2.68-2.96
Re  0.5000  0.5000  0.5000  4 Cr 2.65, 10 Re 2.83-2.96
Re  0.6794  0.3206  0.0000  12 Re 2.68-2.96
Re  0.8520  0.1480  0.5000  2 Cr 2.48, 6 Re 2.68-2.75

b:
Below is CrRe5 after structural relaxation, with properties calculated at the PBE level.

Lattice parameters (Å, degrees): 4.4559 7.2405 7.2405 21.99 90.00 90.00
Last column: nearest neighbours and their distance in Å.
Fractional coordinates of all 6 atoms:
Cr  0.0000  0.0000  0.0000  10 Re 2.68-2.72, 2 Cr 2.76
Re  0.0000  0.3348  0.3348  2 Cr 2.72, 10 Re 2.74-2.82
Re  0.0000  0.6616  0.6616  2 Cr 2.68, 10 Re 2.72-2.82
Re  0.5000  0.2210  0.2210  12 Re 2.75-2.77
Re  0.5000  0.5522  0.5522  8 Re 2.69-2.77, 4 Cr 2.72
Re  0.5000  0.8900  0.8900  10 Re 2.69-2.77, 2 Cr 2.72

c:
Below is CrRe5 after structural relaxation, with properties calculated at the PBE level.

Lattice parameters (Å, degrees): 5.1022 5.1022 5.1022 60.00 60.00 60.00
Last column: nearest neighbours and their distance in Å.
Fractional coordinates of all 6 atoms:
Cr  0.0000  0.0000  0.0000  16 Re 2.99-3.12
Re  0.3740  0.3740  0.3740  6 Re 2.53-2.57
Re  0.3740  0.3740  0.8781  6 Re 2.53-2.57
Re  0.3740  0.8781  0.3740  6 Re 2.53-2.57
Re  0.7500  0.7500  0.7500  12 Re 2.99, 4 Cr 3.12
Re  0.8781  0.3740  0.3740  6 Re 2.53-2.57

Most stable: b (next structure +53 meV/atom)

a:
Below is Cr7Re8 after structural relaxation, with properties calculated at the PBE level.

Lattice parameters (Å, degrees): 9.3566 9.3566 4.7523 90.00 90.00 90.00
Last column: nearest neighbours and their distance in Å.
Fractional coordinates of all 30 atoms:
Cr  0.0000  0.0000  0.0000  4 Re 2.44, 8 Cr 2.63-2.72
Cr  0.0853  0.0853  0.5000  1 Cr 2.26
Cr  0.1844  0.8156  0.2528  2 Cr 2.35-2.40
Cr  0.1844  0.8156  0.7472  2 Cr 2.35-2.40
Cr  0.3156  0.3156  0.2472  2 Cr 2.35-2.40
Cr  0.3156  0.3156  0.7528  2 Cr 2.35-2.40
Cr  0.4147  0.5853  0.0000  1 Cr 2.26
Cr  0.5000  0.5000  0.5000  4 Re 2.44, 8 Cr 2.63-2.72
Cr  0.5853  0.4147  0.0000  1 Cr 2.26
Cr  0.6844  0.6844  0.2472  2 Cr 2.35-2.40
Cr  0.6844  0.6844  0.7528  2 Cr 2.35-2.40
Cr  0.8156  0.1844  0.2528  2 Cr 2.35-2.40
Cr  0.8156  0.1844  0.7472  2 Cr 2.35-2.40
Cr  0.9147  0.9147  0.5000  1 Cr 2.26
Re  0.0330  0.3617  0.5000  5 Re 2.60-2.74, 3 Cr 2.63-2.88
Re  0.0613  0.2534  0.0000  5 Cr 2.44-2.72, 4 Re 2.54-2.71
Re  0.1383  0.5330  0.0000  5 Re 2.60-2.74, 3 Cr 2.63-2.88
Re  0.2466  0.5613  0.5000  5 Cr 2.44-2.72, 4 Re 2.54-2.71
Re  0.2534  0.0613  0.0000  5 Cr 2.44-2.72, 4 Re 2.54-2.71
Re  0.3617  0.0330  0.5000  5 Re 2.60-2.74, 3 Cr 2.63-2.88
Re  0.4387  0.7534  0.5000  5 Cr 2.44-2.72, 4 Re 2.54-2.71
Re  0.4670  0.8617  0.0000  5 Re 2.60-2.74, 3 Cr 2.63-2.88
Re  0.5330  0.1383  0.0000  5 Re 2.60-2.74, 3 Cr 2.63-2.88
Re  0.5613  0.2466  0.5000  5 Cr 2.44-2.72, 4 Re 2.54-2.71
Re  0.6383  0.9670  0.5000  5 Re 2.60-2.74, 3 Cr 2.63-2.88
Re  0.7466  0.9387  0.0000  5 Cr 2.44-2.72, 4 Re 2.54-2.71
Re  0.7534  0.4387  0.5000  5 Cr 2.44-2.72, 4 Re 2.54-2.71
Re  0.8617  0.4670  0.0000  5 Re 2.60-2.74, 3 Cr 2.63-2.88
Re  0.9387  0.7466  0.0000  5 Cr 2.44-2.72, 4 Re 2.54-2.71
Re  0.9670  0.6383  0.5000  5 Re 2.60-2.74, 3 Cr 2.63-2.88

b:
Below is Cr7Re8 after structural relaxation, with properties calculated at the PBE level.

Lattice parameters (Å, degrees): 9.0975 9.0975 4.9394 90.00 90.00 90.00
Last column: nearest neighbours and their distance in Å.
Fractional coordinates of all 30 atoms:
Cr  0.0000  0.0000  0.0000  4 Cr 2.35
Cr  0.0647  0.2501  0.0000  2 Cr 2.35-2.39
Cr  0.0934  0.0934  0.5000  1 Cr 2.40, 2 Re 2.50
Cr  0.2501  0.0647  0.0000  2 Cr 2.35-2.39
Cr  0.2499  0.5647  0.5000  2 Cr 2.35-2.39
Cr  0.4066  0.5934  0.0000  1 Cr 2.40, 2 Re 2.50
Cr  0.4353  0.7501  0.5000  2 Cr 2.35-2.39
Cr  0.5000  0.5000  0.5000  4 Cr 2.35
Cr  0.5647  0.2499  0.5000  2 Cr 2.35-2.39
Cr  0.5934  0.4066  0.0000  1 Cr 2.40, 2 Re 2.50
Cr  0.7501  0.4353  0.5000  2 Cr 2.35-2.39
Cr  0.7499  0.9353  0.0000  2 Cr 2.35-2.39
Cr  0.9066  0.9066  0.5000  1 Cr 2.40, 2 Re 2.50
Cr  0.9353  0.7499  0.0000  2 Cr 2.35-2.39
Re  0.0344  0.3623  0.5000  5 Cr 2.50-2.69, 1 Re 2.58
Re  0.1377  0.5344  0.0000  5 Cr 2.50-2.69, 1 Re 2.58
Re  0.1851  0.8149  0.2507  2 Re 2.46-2.48, 5 Cr 2.65-2.68
Re  0.1851  0.8149  0.7493  2 Re 2.46-2.48, 5 Cr 2.65-2.68
Re  0.3149  0.3149  0.2493  2 Re 2.46-2.48, 5 Cr 2.65-2.68
Re  0.3149  0.3149  0.7507  2 Re 2.46-2.48, 5 Cr 2.65-2.68
Re  0.3623  0.0344  0.5000  5 Cr 2.50-2.69, 1 Re 2.58
Re  0.4656  0.8623  0.0000  5 Cr 2.50-2.69, 1 Re 2.58
Re  0.5344  0.1377  0.0000  5 Cr 2.50-2.69, 1 Re 2.58
Re  0.6377  0.9656  0.5000  5 Cr 2.50-2.69, 1 Re 2.58
Re  0.6851  0.6851  0.2493  2 Re 2.46-2.48, 5 Cr 2.65-2.68
Re  0.6851  0.6851  0.7507  2 Re 2.46-2.48, 5 Cr 2.65-2.68
Re  0.8149  0.1851  0.2507  2 Re 2.46-2.48, 5 Cr 2.65-2.68
Re  0.8149  0.1851  0.7493  2 Re 2.46-2.48, 5 Cr 2.65-2.68
Re  0.8623  0.4656  0.0000  5 Cr 2.50-2.69, 1 Re 2.58
Re  0.9656  0.6377  0.5000  5 Cr 2.50-2.69, 1 Re 2.58

Most stable: b (next structure +46 meV/atom)

a:
Below is CrRe4 after structural relaxation, with properties calculated at the PBE level.

Lattice parameters (Å, degrees): 4.7403 4.7403 4.7403 99.63 99.63 131.71
Last column: nearest neighbours and their distance in Å.
Fractional coordinates of all 5 atoms:
Cr  0.0000  0.0000  0.0000  12 Re 2.73-2.75
Re  0.2033  0.4004  0.6037  9 Re 2.71-2.77, 3 Cr 2.73-2.75
Re  0.4004  0.7967  0.1971  9 Re 2.71-2.77, 3 Cr 2.73-2.75
Re  0.5996  0.2033  0.8029  9 Re 2.71-2.77, 3 Cr 2.73-2.75
Re  0.7967  0.5996  0.3963  9 Re 2.71-2.77, 3 Cr 2.73-2.75

b:
Below is CrRe4 after structural relaxation, with properties calculated at the PBE level.

Lattice parameters (Å, degrees): 6.0723 6.0723 6.0723 139.97 139.97 57.90
Last column: nearest neighbours and their distance in Å.
Fractional coordinates of all 5 atoms:
Cr  0.0000  0.0000  0.0000  16 Re 3.19-3.37
Re  0.2500  0.7500  0.5000  4 Re 2.51
Re  0.3830  0.3830  0.0000  5 Re 2.49-2.51
Re  0.6170  0.6170  0.0000  5 Re 2.49-2.51
Re  0.7500  0.2500  0.5000  4 Re 2.51

Most stable: a (next structure +611 meV/atom)

a:
Below is CrRe4 after structural relaxation, with properties calculated at the PBE level.

Lattice parameters (Å, degrees): 4.3769 4.3769 4.3769 90.00 90.00 90.00
Last column: nearest neighbours and their distance in Å.
Fractional coordinates of all 5 atoms:
Cr  0.0000  0.0000  0.0000  6 Re 2.19
Re  0.0000  0.0000  0.5000  2 Cr 2.19
Re  0.0000  0.5000  0.0000  2 Cr 2.19
Re  0.5000  0.0000  0.0000  2 Cr 2.19
Re  0.5000  0.5000  0.5000  12 Re 3.09

b:
Below is CrRe4 after structural relaxation, with properties calculated at the PBE level.

Lattice parameters (Å, degrees): 9.3930 9.3930 5.0011 90.00 90.00 90.00
Last column: nearest neighbours and their distance in Å.
Fractional coordinates of all 30 atoms:
Cr  0.0000  0.0000  0.0000  8 Re 2.47-2.72, 4 Cr 2.74
Cr  0.0841  0.0841  0.5000  1 Cr 2.23
Cr  0.4159  0.5841  0.0000  1 Cr 2.23
Cr  0.5000  0.5000  0.5000  8 Re 2.47-2.72, 4 Cr 2.74
Cr  0.5841  0.4159  0.0000  1 Cr 2.23
Cr  0.9159  0.9159  0.5000  1 Cr 2.23
Re  0.0344  0.3597  0.5000  1 Cr 2.63, 7 Re 2.70-2.91
Re  0.0633  0.2555  0.0000  1 Cr 2.47, 9 Re 2.55-2.76
Re  0.1403  0.5344  0.0000  1 Cr 2.63, 7 Re 2.70-2.91
Re  0.1820  0.8180  0.2513  6 Re 2.49-2.76, 1 Cr 2.72
Re  0.1820  0.8180  0.7487  6 Re 2.49-2.76, 1 Cr 2.72
Re  0.2445  0.5633  0.5000  1 Cr 2.47, 9 Re 2.55-2.76
Re  0.2555  0.0633  0.0000  1 Cr 2.47, 9 Re 2.55-2.76
Re  0.3180  0.3180  0.2487  6 Re 2.49-2.76, 1 Cr 2.72
Re  0.3180  0.3180  0.7513  6 Re 2.49-2.76, 1 Cr 2.72
Re  0.3597  0.0344  0.5000  1 Cr 2.63, 7 Re 2.70-2.91
Re  0.4367  0.7555  0.5000  1 Cr 2.47, 9 Re 2.55-2.76
Re  0.4656  0.8597  0.0000  1 Cr 2.63, 7 Re 2.70-2.91
Re  0.5344  0.1403  0.0000  1 Cr 2.63, 7 Re 2.70-2.91
Re  0.5633  0.2445  0.5000  1 Cr 2.47, 9 Re 2.55-2.76
Re  0.6403  0.9656  0.5000  1 Cr 2.63, 7 Re 2.70-2.91
Re  0.6820  0.6820  0.2487  6 Re 2.49-2.76, 1 Cr 2.72
Re  0.6820  0.6820  0.7513  6 Re 2.49-2.76, 1 Cr 2.72
Re  0.7445  0.9367  0.0000  1 Cr 2.47, 9 Re 2.55-2.76
Re  0.7555  0.4367  0.5000  1 Cr 2.47, 9 Re 2.55-2.76
Re  0.8180  0.1820  0.2513  6 Re 2.49-2.76, 1 Cr 2.72
Re  0.8180  0.1820  0.7487  6 Re 2.49-2.76, 1 Cr 2.72
Re  0.8597  0.4656  0.0000  1 Cr 2.63, 7 Re 2.70-2.91
Re  0.9367  0.7445  0.0000  1 Cr 2.47, 9 Re 2.55-2.76
Re  0.9656  0.6403  0.5000  1 Cr 2.63, 7 Re 2.70-2.91

Most stable: b (next structure +1642 meV/atom)

a:
Below is Cr7Re after structural relaxation, with properties calculated at the PBE level.

Lattice parameters (Å, degrees): 5.1929 5.1929 5.1929 60.00 60.00 60.00
Last column: nearest neighbours and their distance in Å.
Fractional coordinates of all 8 atoms:
Cr  0.0000  0.0000  0.0000  12 Cr 2.60
Cr  0.0000  0.0000  0.5000  10 Cr 2.60, 2 Re 2.60
Cr  0.0000  0.5000  0.0000  10 Cr 2.60, 2 Re 2.60
Cr  0.0000  0.5000  0.5000  10 Cr 2.60, 2 Re 2.60
Cr  0.5000  0.0000  0.0000  10 Cr 2.60, 2 Re 2.60
Cr  0.5000  0.0000  0.5000  10 Cr 2.60, 2 Re 2.60
Cr  0.5000  0.5000  0.0000  10 Cr 2.60, 2 Re 2.60
Re  0.5000  0.5000  0.5000  12 Cr 2.60

b:
Below is Cr7Re after structural relaxation, with properties calculated at the PBE level.

Lattice parameters (Å, degrees): 5.7822 5.7822 5.7822 89.82 89.82 89.82
Last column: nearest neighbours and their distance in Å.
Fractional coordinates of all 16 atoms:
Cr  0.1214  0.1214  0.1214  7 Cr 2.44-2.48, 1 Re 2.51
Cr  0.1219  0.1219  0.6285  7 Cr 2.46-2.51, 1 Re 2.52
Cr  0.1219  0.6285  0.1219  7 Cr 2.46-2.51, 1 Re 2.52
Cr  0.1230  0.6284  0.6284  7 Cr 2.48-2.55, 1 Re 2.54
Cr  0.3715  0.8781  0.8781  7 Cr 2.46-2.51, 1 Re 2.52
Cr  0.3716  0.3716  0.8770  7 Cr 2.48-2.55, 1 Re 2.54
Cr  0.3716  0.8770  0.3716  7 Cr 2.48-2.55, 1 Re 2.54
Cr  0.6284  0.1230  0.6284  7 Cr 2.48-2.55, 1 Re 2.54
Cr  0.6284  0.6284  0.1230  7 Cr 2.48-2.55, 1 Re 2.54
Cr  0.6285  0.1219  0.1219  7 Cr 2.46-2.51, 1 Re 2.52
Cr  0.8770  0.3716  0.3716  7 Cr 2.48-2.55, 1 Re 2.54
Cr  0.8781  0.3715  0.8781  7 Cr 2.46-2.51, 1 Re 2.52
Cr  0.8781  0.8781  0.3715  7 Cr 2.46-2.51, 1 Re 2.52
Cr  0.8786  0.8786  0.8786  7 Cr 2.44-2.48, 1 Re 2.51
Re  0.3710  0.3710  0.3710  7 Cr 2.51-2.54, 1 Re 2.59
Re  0.6290  0.6290  0.6290  7 Cr 2.51-2.54, 1 Re 2.59

Most stable: b (next structure +337 meV/atom)